# 1
Entry from the Alexandria database: a geometry-optimized Cd3As2Pd4 structure (PBE).

CIF file:
```
data_Cd3As2Pd4
_cell_length_a 13.042
_cell_length_b 9.622
_cell_length_c 5.509
_cell_angle_alpha 90.00
_cell_angle_beta 101.99
_cell_angle_gamma 90.00
_space_group_name_H-M_alt 'C 1 2/c 1'
_space_group_IT_number 15
loop_
_space_group_symop_operation_xyz
'x,y,z'
'-x,-y,-z'
'-x,y,-z+1/2'
'x,-y,z+1/2'
'x+1/2,y+1/2,z'
'-x+1/2,-y+1/2,-z'
'-x+1/2,y+1/2,-z+1/2'
'x+1/2,-y+1/2,z+1/2'
loop_
_atom_site_label
_atom_site_type_symbol
_atom_site_fract_x
_atom_site_fract_y
_atom_site_fract_z
Cd1 Cd 0.000 0.049 0.250
Cd2 Cd 0.067 0.318 0.004
As1 As 0.219 0.189 0.716
Pd1 Pd 0.133 0.405 0.510
Pd2 Pd 0.188 0.061 0.087
```

- Energy of formation from the pure elements: -208.0 meV/atom

---

# 2
Entry from the Alexandria database: a geometry-optimized K2AgMo4 structure (PBE).

CIF file:
```
data_K2AgMo4
_cell_length_a 5.254
_cell_length_b 5.254
_cell_length_c 17.687
_cell_angle_alpha 90.00
_cell_angle_beta 90.00
_cell_angle_gamma 90.00
_space_group_name_H-M_alt 'I 4/m m m'
_space_group_IT_number 139
_space_group_name_Hall '-I 4 2'
loop_
_atom_site_label
_atom_site_type_symbol
_atom_site_fract_x
_atom_site_fract_y
_atom_site_fract_z
K1 K 0.000 0.000 0.146
Ag1 Ag 0.000 0.000 0.500
Mo1 Mo 0.000 0.000 0.354
Mo2 Mo 0.000 0.500 0.000
```

- Energy of formation from the pure elements: 2380.1 meV/atom

---

# 3
Entry from the Alexandria database: a geometry-optimized PaBi2Au4 structure (PBE).

CIF file:
```
data_PaBi2Au4
_cell_length_a 8.309
_cell_length_b 4.810
_cell_length_c 8.938
_cell_angle_alpha 90.00
_cell_angle_beta 108.08
_cell_angle_gamma 90.00
_space_group_name_H-M_alt 'C 1 2/m 1'
_space_group_IT_number 12
loop_
_space_group_symop_operation_xyz
'x,y,z'
'-x,-y,-z'
'-x,y,-z'
'x,-y,z'
'x+1/2,y+1/2,z'
'-x+1/2,-y+1/2,-z'
'-x+1/2,y+1/2,-z'
'x+1/2,-y+1/2,z'
loop_
_atom_site_label
_atom_site_type_symbol
_atom_site_fract_x
_atom_site_fract_y
_atom_site_fract_z
Pa1 Pa 0.000 0.000 0.000
Bi1 Bi 0.130 0.000 0.387
Au1 Au 0.096 0.500 0.790
Au2 Au 0.219 0.500 0.156
```

- Energy of formation from the pure elements: -208.6 meV/atom

---

# 4
Entry from the Alexandria database: a geometry-optimized Nd2Th2CoPt2 structure (PBE).

CIF file:
```
data_Nd2Th2CoPt2
_cell_length_a 4.150
_cell_length_b 7.192
_cell_length_c 7.323
_cell_angle_alpha 116.08
_cell_angle_beta 106.36
_cell_angle_gamma 90.06
_space_group_name_H-M_alt 'P -1'
_space_group_IT_number 2
loop_
_space_group_symop_operation_xyz
'x,y,z'
'-x,-y,-z'
loop_
_atom_site_label
_atom_site_type_symbol
_atom_site_fract_x
_atom_site_fract_y
_atom_site_fract_z
Nd1 Nd 0.020 0.255 0.041
Th1 Th 0.291 0.256 0.582
Co1 Co 0.500 0.500 0.000
Pt1 Pt 0.366 0.930 0.733
```

- Energy of formation from the pure elements: -631.1 meV/atom

---

# 5
Entry from the Alexandria database: a geometry-optimized PuGaP2O8 structure (PBE).

CIF file:
```
data_PuGaP2O8
_cell_length_a 4.9816
_cell_length_b 4.9816
_cell_length_c 6.7976
_cell_angle_alpha 90.00
_cell_angle_beta 90.00
_cell_angle_gamma 120.00
_space_group_name_H-M_alt 'P -3'
_space_group_IT_number 147
loop_
_space_group_symop_operation_xyz
'x,y,z'
'-x,-y,-z'
'-y,x-y,z'
'y,-x+y,-z'
'-x+y,-x,z'
'x-y,x,-z'
loop_
_atom_site_label
_atom_site_type_symbol
_atom_site_fract_x
_atom_site_fract_y
_atom_site_fract_z
Pu1 Pu 0.0000 0.0000 0.0000
Ga1 Ga 0.0000 0.0000 0.5000
P1 P 0.3333 0.6667 0.7576
O1 O 0.0946 0.3345 0.6894
O2 O 0.3333 0.6667 0.9842
```

- Uncorrected formation energy: -2.333 eV/atom

---

# 6
Entry from the Alexandria database: a geometry-optimized PmPaAl structure (PBE).

CIF file:
```
data_PmPaAl
_cell_length_a 3.924
_cell_length_b 3.924
_cell_length_c 9.908
_cell_angle_alpha 90.00
_cell_angle_beta 90.00
_cell_angle_gamma 90.00
_space_group_name_H-M_alt 'I 4 m m'
_space_group_IT_number 107
_space_group_name_Hall 'I 4 -2'
loop_
_atom_site_label
_atom_site_type_symbol
_atom_site_fract_x
_atom_site_fract_y
_atom_site_fract_z
Pm1 Pm 0.000 0.000 0.000
Pa1 Pa 0.000 0.000 0.307
Al1 Al 0.000 0.000 0.656
```

- Energy of formation from the pure elements: 126.0 meV/atom
- Energy relative to the lowest polymorph listed for this composition: 0.205 eV per atom

---

# 7
Entry from the Alexandria database: a geometry-optimized Fe3HW structure (PBE).

CIF file:
```
data_Fe3HW
_cell_length_a 4.750
_cell_length_b 6.322
_cell_length_c 6.941
_cell_angle_alpha 90.00
_cell_angle_beta 90.00
_cell_angle_gamma 90.00
_space_group_name_H-M_alt 'P n m a'
_space_group_IT_number 62
loop_
_space_group_symop_operation_xyz
'x,y,z'
'-x,-y,-z'
'-x+1/2,-y,z+1/2'
'x+1/2,y,-z+1/2'
'x+1/2,-y+1/2,-z+1/2'
'-x+1/2,y+1/2,z+1/2'
'-x,y+1/2,-z'
'x,-y+1/2,z'
loop_
_atom_site_label
_atom_site_type_symbol
_atom_site_fract_x
_atom_site_fract_y
_atom_site_fract_z
Fe1 Fe 0.038 0.077 0.152
Fe2 Fe 0.206 0.250 0.791
H1 H 0.108 0.750 0.068
W1 W 0.000 0.000 0.500
```

- Energy relative to the lowest polymorph listed for this composition: 0.343 eV per atom

---

# 8
Entry from the Alexandria database: a geometry-optimized TcBr structure (PBE).

CIF file:
```
data_TcBr
_cell_length_a 10.416
_cell_length_b 10.416
_cell_length_c 3.442
_cell_angle_alpha 90.00
_cell_angle_beta 90.00
_cell_angle_gamma 90.00
_space_group_name_H-M_alt 'P 4/m'
_space_group_IT_number 83
loop_
_space_group_symop_operation_xyz
'x,y,z'
'-x,-y,-z'
'-y,x,z'
'y,-x,-z'
'-x,-y,z'
'x,y,-z'
'y,-x,z'
'-y,x,-z'
loop_
_atom_site_label
_atom_site_type_symbol
_atom_site_fract_x
_atom_site_fract_y
_atom_site_fract_z
Tc1 Tc 0.073 0.615 0.000
Tc2 Tc 0.091 0.410 0.500
Br1 Br 0.169 0.802 0.500
Br2 Br 0.281 0.485 0.000
```

- Energy relative to the lowest polymorph listed for this composition: 0.046 eV per atom
- Uncorrected formation energy: 0.089 eV/atom

---

# 9
Entry from the Alexandria database: a geometry-optimized TbSm5Dy4 structure (PBE).

CIF file:
```
data_TbSm5Dy4
_cell_length_a 10.593
_cell_length_b 10.593
_cell_length_c 5.995
_cell_angle_alpha 90.00
_cell_angle_beta 90.00
_cell_angle_gamma 90.00
_space_group_name_H-M_alt 'I 4 m m'
_space_group_IT_number 107
_space_group_name_Hall 'I 4 -2'
loop_
_atom_site_label
_atom_site_type_symbol
_atom_site_fract_x
_atom_site_fract_y
_atom_site_fract_z
Tb1 Tb 0.000 0.000 0.000
Sm1 Sm 0.000 0.000 0.468
Sm2 Sm 0.189 0.189 0.735
Dy1 Dy 0.000 0.326 0.229
```

- Energy of formation from the pure elements: 264.5 meV/atom
- Energy relative to the lowest polymorph listed for this composition: 0.249 eV per atom

---

# 10
Entry from the Alexandria database: a geometry-optimized Pt2Au2Se structure (PBE).

CIF file:
```
data_Pt2Au2Se
_cell_length_a 6.776
_cell_length_b 6.776
_cell_length_c 4.005
_cell_angle_alpha 90.00
_cell_angle_beta 90.00
_cell_angle_gamma 90.00
_space_group_name_H-M_alt 'P 4/m b m'
_space_group_IT_number 127
_space_group_name_Hall '-P 4 2ab'
loop_
_atom_site_label
_atom_site_type_symbol
_atom_site_fract_x
_atom_site_fract_y
_atom_site_fract_z
Pt1 Pt 0.150 0.350 0.000
Au1 Au 0.152 0.652 0.500
Se1 Se 0.000 0.000 0.000
```

- Uncorrected formation energy: 0.170 eV/atom

---

# 11
Entry from the Alexandria database: a geometry-optimized Na4Hg9Pb2 structure (PBE).

CIF file:
```
data_Na4Hg9Pb2
_cell_length_a 5.3131
_cell_length_b 5.3131
_cell_length_c 16.4649
_cell_angle_alpha 90.00
_cell_angle_beta 90.00
_cell_angle_gamma 120.00
_space_group_name_H-M_alt 'P -3 m 1'
_space_group_IT_number 164
_space_group_name_Hall '-P 3 2"'
loop_
_atom_site_label
_atom_site_type_symbol
_atom_site_fract_x
_atom_site_fract_y
_atom_site_fract_z
Na1 Na 0.3333 0.6667 0.1487
Na2 Na 0.3333 0.6667 0.3678
Hg1 Hg 0.0000 0.0000 0.0963
Hg2 Hg 0.0000 0.0000 0.2899
Hg3 Hg 0.0000 0.0000 0.5000
Hg4 Hg 0.3333 0.6667 0.5566
Hg5 Hg 0.3333 0.6667 0.9518
Pb1 Pb 0.3333 0.6667 0.7502
```

- Energy of formation from the pure elements: -153.2 meV/atom

---

# 12
Entry from the Alexandria database: a geometry-optimized Li3Cu5F12 structure (PBE).

CIF file:
```
data_Li3Cu5F12
_cell_length_a 12.795
_cell_length_b 12.795
_cell_length_c 12.795
_cell_angle_alpha 90.00
_cell_angle_beta 90.00
_cell_angle_gamma 90.00
_space_group_name_H-M_alt 'I a -3 d'
_space_group_IT_number 230
_space_group_name_Hall '-I 4bd 2c 3'
loop_
_atom_site_label
_atom_site_type_symbol
_atom_site_fract_x
_atom_site_fract_y
_atom_site_fract_z
Li1 Li 0.000 0.250 0.125
Cu1 Cu 0.000 0.000 0.000
Cu2 Cu 0.000 0.250 0.375
F1 F 0.000 0.002 0.155
```

- Uncorrected formation energy: -1.822 eV/atom

---

# 13
Entry from the Alexandria database: a geometry-optimized La3Ga2HgAu6 structure (PBE).

CIF file:
```
data_La3Ga2HgAu6
_cell_length_a 6.2733
_cell_length_b 6.2733
_cell_length_c 8.6911
_cell_angle_alpha 90.00
_cell_angle_beta 90.00
_cell_angle_gamma 120.00
_space_group_name_H-M_alt 'P -3 m 1'
_space_group_IT_number 164
_space_group_name_Hall '-P 3 2"'
loop_
_atom_site_label
_atom_site_type_symbol
_atom_site_fract_x
_atom_site_fract_y
_atom_site_fract_z
La1 La 0.0000 0.0000 0.0000
La2 La 0.3333 0.6667 0.6383
Ga1 Ga 0.3333 0.6667 0.0155
Hg1 Hg 0.0000 0.0000 0.5000
Au1 Au 0.1817 0.3634 0.2679
```

- Energy of formation from the pure elements: -479.6 meV/atom

---

# 14
Entry from the Alexandria database: a geometry-optimized NaBe2CdCo structure (PBE).

CIF file:
```
data_NaBe2CdCo
_cell_length_a 4.483
_cell_length_b 4.483
_cell_length_c 5.132
_cell_angle_alpha 90.00
_cell_angle_beta 90.00
_cell_angle_gamma 90.00
_space_group_name_H-M_alt 'P 4/m m m'
_space_group_IT_number 123
_space_group_name_Hall '-P 4 2'
loop_
_atom_site_label
_atom_site_type_symbol
_atom_site_fract_x
_atom_site_fract_y
_atom_site_fract_z
Na1 Na 0.000 0.000 0.000
Be1 Be 0.000 0.500 0.500
Cd1 Cd 0.000 0.000 0.500
Co1 Co 0.500 0.500 0.000
```

- Energy of formation from the pure elements: 1357.8 meV/atom

---

# 15
Entry from the Alexandria database: a geometry-optimized Ge3BrF structure (PBE).

CIF file:
```
data_Ge3BrF
_cell_length_a 4.831
_cell_length_b 4.831
_cell_length_c 4.831
_cell_angle_alpha 90.00
_cell_angle_beta 90.00
_cell_angle_gamma 90.00
_space_group_name_H-M_alt 'P m -3 m'
_space_group_IT_number 221
_space_group_name_Hall '-P 4 2 3'
loop_
_atom_site_label
_atom_site_type_symbol
_atom_site_fract_x
_atom_site_fract_y
_atom_site_fract_z
Ge1 Ge 0.000 0.000 0.500
Br1 Br 0.500 0.500 0.500
F1 F 0.000 0.000 0.000
```

- Energy relative to the lowest polymorph listed for this composition: 0.000 eV per atom
- Uncorrected formation energy: 0.231 eV/atom

---

# 16
Entry from the Alexandria database: a geometry-optimized NdEr2Tl4 structure (PBE).

CIF file:
```
data_NdEr2Tl4
_cell_length_a 4.9041
_cell_length_b 4.9041
_cell_length_c 30.3870
_cell_angle_alpha 90.00
_cell_angle_beta 90.00
_cell_angle_gamma 120.00
_space_group_name_H-M_alt 'R -3 m'
_space_group_IT_number 166
_space_group_name_Hall '-R 3 2"'
loop_
_atom_site_label
_atom_site_type_symbol
_atom_site_fract_x
_atom_site_fract_y
_atom_site_fract_z
Nd1 Nd 0.0000 0.0000 0.0000
Er1 Er 0.0000 0.0000 0.1302
Tl1 Tl 0.0000 0.0000 0.2408
Tl2 Tl 0.0000 0.0000 0.3854
```

- Energy of formation from the pure elements: -107.3 meV/atom
- Energy relative to the lowest polymorph listed for this composition: 0.101 eV per atom

---

# 17
Entry from the Alexandria database: a geometry-optimized Li2Nb2TcN6 structure (PBE).

CIF file:
```
data_Li2Nb2TcN6
_cell_length_a 5.311
_cell_length_b 9.170
_cell_length_c 5.433
_cell_angle_alpha 90.00
_cell_angle_beta 108.30
_cell_angle_gamma 90.00
_space_group_name_H-M_alt 'C 1 2/m 1'
_space_group_IT_number 12
loop_
_space_group_symop_operation_xyz
'x,y,z'
'-x,-y,-z'
'-x,y,-z'
'x,-y,z'
'x+1/2,y+1/2,z'
'-x+1/2,-y+1/2,-z'
'-x+1/2,y+1/2,-z'
'x+1/2,-y+1/2,z'
loop_
_atom_site_label
_atom_site_type_symbol
_atom_site_fract_x
_atom_site_fract_y
_atom_site_fract_z
Li1 Li 0.000 0.163 0.000
Nb1 Nb 0.000 0.334 0.500
Tc1 Tc 0.000 0.000 0.500
N1 N 0.230 0.166 0.716
N2 N 0.249 0.500 0.715
```

- Uncorrected formation energy: -0.362 eV/atom

---

# 18
Entry from the Alexandria database: a geometry-optimized Ce3PbSe structure (PBE).

CIF file:
```
data_Ce3PbSe
_cell_length_a 3.946
_cell_length_b 8.458
_cell_length_c 10.292
_cell_angle_alpha 108.15
_cell_angle_beta 100.69
_cell_angle_gamma 97.24
_space_group_name_H-M_alt 'P -1'
_space_group_IT_number 2
loop_
_space_group_symop_operation_xyz
'x,y,z'
'-x,-y,-z'
loop_
_atom_site_label
_atom_site_type_symbol
_atom_site_fract_x
_atom_site_fract_y
_atom_site_fract_z
Ce1 Ce 0.047 0.396 0.133
Ce2 Ce 0.223 0.322 0.532
Ce3 Ce 0.319 0.995 0.376
Pb1 Pb 0.368 0.273 0.849
Se1 Se 0.391 0.697 0.693
```

- Uncorrected formation energy: -0.690 eV/atom

---

# 19
Entry from the Alexandria database: a geometry-optimized PmNdHg6 structure (PBE).

CIF file:
```
data_PmNdHg6
_cell_length_a 5.061
_cell_length_b 6.816
_cell_length_c 11.718
_cell_angle_alpha 90.00
_cell_angle_beta 90.00
_cell_angle_gamma 90.00
_space_group_name_H-M_alt 'A m m 2'
_space_group_IT_number 38
loop_
_space_group_symop_operation_xyz
'x,y,z'
'-x,-y,z'
'-x,y,z'
'x,-y,z'
'x,y+1/2,z+1/2'
'-x,-y+1/2,z+1/2'
'-x,y+1/2,z+1/2'
'x,-y+1/2,z+1/2'
loop_
_atom_site_label
_atom_site_type_symbol
_atom_site_fract_x
_atom_site_fract_y
_atom_site_fract_z
Pm1 Pm 0.000 0.000 0.000
Nd1 Nd 0.500 0.000 0.327
Hg1 Hg 0.000 0.000 0.498
Hg2 Hg 0.000 0.241 0.746
Hg3 Hg 0.500 0.000 0.830
Hg4 Hg 0.500 0.243 0.580
```

- Energy of formation from the pure elements: -390.0 meV/atom